# 1
Below is an optimized crystal structure of Sc3Cr4, with properties calculated at the PBE-GGA level.

## Properties
Crystal system   tetragonal

a = 3.047 Å, b = 3.047 Å, c = 24.839 Å
α = 90.00°, β = 90.00°, γ = 90.00°
Space group I4/mmm (No. 139)
Inequivalent atoms, fractional coordinates:
Sc: 0.000 0.000 0.000
Sc: 0.000 0.000 0.305
Cr: 0.000 0.000 0.122
Cr: 0.000 0.000 0.424

---

# 2
Below is an optimized crystal structure of Sc2Cr, with properties calculated at the PBE-GGA level.

## Properties
Crystal system   orthorhombic

a = 3.321 Å, b = 15.014 Å, c = 4.860 Å
α = 90.00°, β = 90.00°, γ = 90.00°
Space group Cmcm (No. 63)
Inequivalent atoms, fractional coordinates:
Sc: 0.000 0.080 0.250
Sc: 0.000 0.223 0.750
Cr: 0.000 0.428 0.250

---

# 3
Below is an optimized crystal structure of Sc2Cr, with properties calculated at the PBE-GGA level.

## Properties
Crystal system   hexagonal

a = 6.2497 Å, b = 6.2497 Å, c = 6.9830 Å
α = 90.00°, β = 90.00°, γ = 120.00°
Space group P6_3/mmc (No. 194)
Inequivalent atoms, fractional coordinates:
Sc: 0.0000 0.0000 0.0000
Sc: 0.1875 0.3750 0.2500
Cr: 0.3333 0.6667 0.6089

---

# 4
Below is an optimized crystal structure of ScCr, with properties calculated at the PBE-GGA level.

## Properties
Crystal system   orthorhombic

a = 3.402 Å, b = 4.568 Å, c = 4.285 Å
α = 90.00°, β = 90.00°, γ = 90.00°
Space group Cmmm (No. 65)
Inequivalent atoms, fractional coordinates:
Sc: 0.000 0.000 0.000
Cr: 0.000 0.500 0.500

---

# 5
Below is an optimized crystal structure of Sc2Cr, with properties calculated at the PBE-GGA level.

## Properties
Crystal system   orthorhombic

a = 3.224 Å, b = 15.453 Å, c = 5.008 Å
α = 90.00°, β = 90.00°, γ = 90.00°
Space group Cmcm (No. 63)
Inequivalent atoms, fractional coordinates:
Sc: 0.000 0.063 0.250
Sc: 0.000 0.371 0.250
Cr: 0.000 0.279 0.750

---

# 6
Below is an optimized crystal structure of Sc2Cr, with properties calculated at the PBE-GGA level.

## Properties
Crystal system   trigonal

a = 4.7851 Å, b = 4.7851 Å, c = 2.9890 Å
α = 90.00°, β = 90.00°, γ = 120.00°
Space group P-3m1 (No. 164)
Inequivalent atoms, fractional coordinates:
Sc: 0.3333 0.6667 0.0023
Cr: 0.0000 0.0000 0.5000

---

# 7
Below is an optimized crystal structure of Sc5Cr, with properties calculated at the PBE-GGA level.

## Properties
Crystal system   orthorhombic

a = 4.986 Å, b = 3.297 Å, c = 16.351 Å
α = 90.00°, β = 90.00°, γ = 90.00°
Space group Amm2 (No. 38)
Inequivalent atoms, fractional coordinates:
Sc: 0.000 0.000 0.000
Sc: 0.000 0.000 0.316
Sc: 0.500 0.000 0.113
Sc: 0.500 0.000 0.439
Sc: 0.500 0.000 0.770
Cr: 0.000 0.000 0.659

---

# 8
Below is an optimized crystal structure of ScCr, with properties calculated at the PBE-GGA level.

## Properties
Crystal system   cubic

a = 7.617 Å, b = 7.617 Å, c = 7.617 Å
α = 90.00°, β = 90.00°, γ = 90.00°
Space group Pm-3n (No. 223)
Inequivalent atoms, fractional coordinates:
Sc: 0.000 0.250 0.500
Cr: 0.000 0.500 0.250

---

# 9
Below is an optimized crystal structure of ScCr, with properties calculated at the PBE-GGA level.

## Properties
Crystal system   hexagonal

a = 3.1084 Å, b = 3.1084 Å, c = 8.7871 Å
α = 90.00°, β = 90.00°, γ = 120.00°
Space group P6_3/mmc (No. 194)
Inequivalent atoms, fractional coordinates:
Sc: 0.3333 0.6667 0.2500
Cr: 0.0000 0.0000 0.0000

---

# 10
Below is an optimized crystal structure of ScCr, with properties calculated at the PBE-GGA level.

## Properties
Crystal system   orthorhombic

a = 3.152 Å, b = 4.629 Å, c = 14.950 Å
α = 90.00°, β = 90.00°, γ = 90.00°
Space group Immm (No. 71)
Inequivalent atoms, fractional coordinates:
Sc: 0.000 0.000 0.000
Sc: 0.000 0.500 0.315
Cr: 0.000 0.000 0.500
Cr: 0.000 0.500 0.121

---

# 11
Below is an optimized crystal structure of ScCr4, with properties calculated at the PBE-GGA level.

## Properties
Crystal system   tetragonal

a = 6.730 Å, b = 6.730 Å, c = 2.934 Å
α = 90.00°, β = 90.00°, γ = 90.00°
Space group I4/m (No. 87)
Inequivalent atoms, fractional coordinates:
Sc: 0.000 0.000 0.000
Cr: 0.108 0.680 0.500

---

# 12
Below is an optimized crystal structure of ScCr, with properties calculated at the PBE-GGA level.

## Properties
Crystal system   tetragonal

a = 5.373 Å, b = 5.373 Å, c = 5.399 Å
α = 90.00°, β = 90.00°, γ = 90.00°
Space group P4_2/mnm (No. 136)
Inequivalent atoms, fractional coordinates:
Sc: 0.183 0.183 0.000
Cr: 0.130 0.130 0.500

---

# 13
Below is an optimized crystal structure of Sc5Cr, with properties calculated at the PBE-GGA level.

## Properties
Crystal system   cubic

a = 8.315 Å, b = 8.315 Å, c = 8.315 Å
α = 90.00°, β = 90.00°, γ = 90.00°
Space group F-43m (No. 216)
Inequivalent atoms, fractional coordinates:
Sc: 0.000 0.000 0.000
Sc: 0.126 0.126 0.626
Cr: 0.250 0.250 0.250

---

Number 1: formation energy 1.16 eV per formula unit, total magnetic moment 0.12 μB/atom. Number 2: formation energy 0.63 eV per formula unit, total magnetic moment 0.99 μB/atom. Number 3: formation energy 2.31 eV per formula unit, total magnetic moment 0.37 μB/atom. Number 4: formation energy 1.08 eV per formula unit, total magnetic moment 0.51 μB/atom. Number 5: formation energy 1.05 eV per formula unit, total magnetic moment 1.09 μB/atom. Number 6: formation energy 1.15 eV per formula unit, total magnetic moment 0.86 μB/atom. Number 7: formation energy 0.86 eV per formula unit, total magnetic moment 0.38 μB/atom. Number 8: formation energy 3.94 eV per formula unit, total magnetic moment 2.09 μB/atom. Number 9: formation energy 1.02 eV per formula unit, total magnetic moment 1.18 μB/atom. Number 10: formation energy 0.42 eV per formula unit, total magnetic moment 0.46 μB/atom. Number 11: formation energy 1.20 eV per formula unit, total magnetic moment 0.00 μB/atom. Number 12: formation energy 1.78 eV per formula unit, total magnetic moment 0.00 μB/atom. Number 13: formation energy 2.79 eV per formula unit, total magnetic moment 0.80 μB/atom.